(1)
A geometry-optimized TbHo3P4 structure, computed with PBE.

## Properties
Calculated formation energy (eV/atom): -1.614
Calculated volume (Å³ per cell): 361.3
Energy (eV per atom): -6.614
Density (Mg/m³): 7.15
M_tot (μB per cell): 0.00
SG: Cmmm
Crystal system: orthorhombic

Cell: 7.9937 11.3042 3.9987 Å, 90.00 90.00 90.00°
Positions (direct):
Tb 0.0000 0.0000 0.0000
Tb 0.5000 0.5000 0.0000
Ho 0.0000 0.5000 0.0000
Ho 0.2500 0.2500 0.5000
Ho 0.2500 0.7500 0.5000
Ho 0.5000 0.0000 0.0000
Ho 0.7500 0.2500 0.5000
Ho 0.7500 0.7500 0.5000
P 0.0000 0.2508 0.0000
P 0.0000 0.7492 0.0000
P 0.2483 0.5000 0.5000
P 0.2517 0.0000 0.5000
P 0.5000 0.2492 0.0000
P 0.5000 0.7508 0.0000
P 0.7483 0.0000 0.5000
P 0.7517 0.5000 0.5000

(2)
A geometry-optimized Be2CrCu structure, computed with PBE.

## Properties
Calculated formation energy (eV/atom): 0.133
Calculated volume (Å³ per cell): 79.5
Energy (eV per atom): -5.160
Density (Mg/m³): 5.58
M_tot (μB per cell): 0.44
SG: Imm2
Crystal system: orthorhombic

Cell: 2.4075 3.9892 8.2735 Å, 90.00 90.00 90.00°
Positions (direct):
Be 0.0000 0.0000 0.0000
Be 0.0000 0.5000 0.2771
Be 0.5000 0.0000 0.7771
Be 0.5000 0.5000 0.5000
Cr 0.0000 0.5000 0.7634
Cr 0.5000 0.0000 0.2634
Cu 0.0000 0.0000 0.5410
Cu 0.5000 0.5000 0.0410